Record 1
{
  "formula": "LiLaNi10",
  "functional": "PBE",
  "state": "optimized geometry",
  "ef_mev_per_atom": -73,
  "magnetic_moment_mub_per_cell": 4.2,
  "total_energy_ha_per_atom": -0.201,
  "lattice_angstrom": [[3.9906, 0.0000, 0.0000], [0.0000, 4.8317, 0.0000], [0.0000, 0.0000, 8.4209]],
  "species": ["Li", "La", "Ni", "Ni", "Ni", "Ni", "Ni", "Ni", "Ni", "Ni", "Ni", "Ni"],
  "frac_coords": [[0.0000, 0.5000, 0.5000], [0.0000, 0.0000, 0.0000], [0.0000, 0.0000, 0.3459], [0.0000, 0.5000, 0.8122], [0.0000, 0.5000, 0.1878], [0.0000, 0.0000, 0.6541], [0.5000, 0.0000, 0.5000], [0.5000, 0.5000, 0.0000], [0.5000, 0.2521, 0.2573], [0.5000, 0.7479, 0.7427], [0.5000, 0.7479, 0.2573], [0.5000, 0.2521, 0.7427]]
}


Record 2
{
  "formula": "LiLa3Ni3",
  "functional": "PBE",
  "state": "optimized geometry",
  "ef_mev_per_atom": -239,
  "magnetic_moment_mub_per_cell": 0.0,
  "total_energy_ha_per_atom": -0.187,
  "lattice_angstrom": [[-2.8039, -2.9067, -0.1869], [4.4613, -1.2863, -3.1966], [6.1273, -6.6319, 11.2203]],
  "species": ["Li", "Li", "La", "La", "La", "La", "La", "La", "Ni", "Ni", "Ni", "Ni", "Ni", "Ni"],
  "frac_coords": [[0.5000, 0.0000, 0.0000], [0.5000, 0.0000, 0.5000], [0.1918, 0.3835, 0.8961], [0.8082, 0.6165, 0.1039], [0.1918, 0.3835, 0.6039], [0.8082, 0.6165, 0.3961], [0.4637, 0.9275, 0.7500], [0.5363, 0.0725, 0.2500], [0.8958, 0.7915, 0.8985], [0.1042, 0.2085, 0.1015], [0.8958, 0.7915, 0.6015], [0.1042, 0.2085, 0.3985], [0.7516, 0.5031, 0.7500], [0.2484, 0.4969, 0.2500]]
}


Record 3
{
  "formula": "Li4LaNi2",
  "functional": "PBE",
  "state": "optimized geometry",
  "ef_mev_per_atom": -96,
  "magnetic_moment_mub_per_cell": 0.0,
  "total_energy_ha_per_atom": -0.130,
  "lattice_angstrom": [[3.9845, 0.0000, 0.0000], [0.0000, 3.7593, -1.1165], [0.0000, 0.4137, 8.2801]],
  "species": ["Li", "Li", "Li", "Li", "La", "Ni", "Ni"],
  "frac_coords": [[0.5000, 0.8183, 0.6365], [0.0000, 0.6760, 0.3520], [0.5000, 0.1817, 0.3635], [0.0000, 0.3240, 0.6480], [0.0000, 0.0000, 0.0000], [0.5000, 0.5728, 0.1455], [0.5000, 0.4272, 0.8545]]
}


Record 4
{
  "formula": "LiLa3Ni",
  "functional": "PBE",
  "state": "optimized geometry",
  "ef_mev_per_atom": 26,
  "magnetic_moment_mub_per_cell": 0.0,
  "total_energy_ha_per_atom": -0.164,
  "de_polymorph_kcal_per_mol_atoms": 0.00,
  "lattice_angstrom": [[-0.4047, 2.7578, 4.7966], [1.8612, -4.4612, 2.7221], [5.2104, 1.8078, -0.5997]],
  "species": ["Ni", "Li", "La", "La", "La"],
  "frac_coords": [[0.0000, 0.0000, 0.0000], [0.5000, 0.5000, 0.5000], [0.0000, 0.5000, 0.0000], [0.0000, 0.0000, 0.5000], [0.5000, 0.0000, 0.0000]]
}


Record 5
{
  "formula": "LiLa2Ni",
  "functional": "PBE",
  "state": "optimized geometry",
  "ef_mev_per_atom": -48,
  "magnetic_moment_mub_per_cell": 0.0,
  "total_energy_ha_per_atom": -0.163,
  "lattice_angstrom": [[-1.7861, 3.2704, -1.5016], [-3.1511, 1.6257, 1.8889], [3.7620, 6.7688, 4.7982]],
  "species": ["Li", "La", "La", "Ni"],
  "frac_coords": [[0.5000, 0.5000, 0.4998], [0.0607, 0.0607, 0.8177], [0.2728, 0.2728, 0.1819], [0.6666, 0.6666, 0.0006]]
}


Record 6
{
  "formula": "LiLa2Ni",
  "functional": "PBE",
  "state": "optimized geometry",
  "ef_mev_per_atom": 45,
  "magnetic_moment_mub_per_cell": 0.0,
  "total_energy_ha_per_atom": -0.160,
  "lattice_angstrom": [[-2.7546, -0.5161, 4.1044], [-3.8718, -3.1160, 0.0187], [0.2155, -4.2156, 2.6236]],
  "species": ["La", "La", "Li", "Ni"],
  "frac_coords": [[0.0000, 0.0000, 0.0000], [0.2500, 0.2500, 0.2500], [0.5000, 0.5000, 0.5000], [0.7500, 0.7500, 0.7500]]
}


Record 7
{
  "formula": "LiLa2Ni",
  "functional": "PBE",
  "state": "optimized geometry",
  "ef_mev_per_atom": -41,
  "magnetic_moment_mub_per_cell": 0.0,
  "total_energy_ha_per_atom": -0.163,
  "lattice_angstrom": [[4.5703, -0.3422, 0.3151], [3.2319, 3.2496, 0.3151], [1.7410, 0.6488, 6.8343]],
  "species": ["La", "La", "Li", "Ni"],
  "frac_coords": [[0.9322, 0.9322, 0.0941], [0.7740, 0.7740, 0.6538], [0.5505, 0.5505, 0.3731], [0.2433, 0.2433, 0.3790]]
}


Record 8
{
  "formula": "LiLa2Ni",
  "functional": "PBE",
  "state": "optimized geometry",
  "ef_mev_per_atom": -98,
  "magnetic_moment_mub_per_cell": 0.0,
  "total_energy_ha_per_atom": -0.165,
  "lattice_angstrom": [[-3.2610, -1.2861, 0.8358], [-0.3037, -1.3885, -3.3215], [3.0777, -8.2833, -0.7382]],
  "species": ["Ni", "Li", "La", "La"],
  "frac_coords": [[0.5000, 0.7500, 0.7500], [0.5000, 0.2500, 0.2500], [0.0000, 0.0472, 0.9516], [0.0000, 0.4528, 0.5484]]
}


Record 9
{
  "formula": "LiLa2Ni",
  "functional": "PBE",
  "state": "optimized geometry",
  "ef_mev_per_atom": 91,
  "magnetic_moment_mub_per_cell": 0.0,
  "total_energy_ha_per_atom": -0.158,
  "lattice_angstrom": [[8.0967, 0.0000, 0.0000], [0.0000, 8.0967, 0.0000], [4.0483, 4.0483, 3.2606]],
  "species": ["Ni", "Ni", "Li", "Li", "La", "La", "La", "La"],
  "frac_coords": [[0.0000, 0.0000, 0.0000], [0.7500, 0.2500, 0.5000], [0.5000, 0.5000, 0.0000], [0.2500, 0.7500, 0.5000], [0.6743, 0.1250, 0.2500], [0.0757, 0.6250, 0.2500], [0.3750, 0.3257, 0.7500], [0.8750, 0.9243, 0.7500]]
}


Record 10
{
  "formula": "LiLa4Ni",
  "functional": "PBE",
  "state": "optimized geometry",
  "ef_mev_per_atom": 651,
  "magnetic_moment_mub_per_cell": 0.0,
  "total_energy_ha_per_atom": -0.144,
  "lattice_angstrom": [[0.0000, 4.5584, 4.5584], [4.5584, 0.0000, 4.5584], [4.5584, 4.5584, 0.0000]],
  "species": ["Li", "La", "La", "La", "La", "Ni"],
  "frac_coords": [[0.7500, 0.7500, 0.7500], [0.8826, 0.3725, 0.3725], [0.3725, 0.3725, 0.8826], [0.3725, 0.8826, 0.3725], [0.3725, 0.3725, 0.3725], [0.0000, 0.0000, 0.0000]]
}


Record 11
{
  "formula": "Li2LaNi",
  "functional": "PBE",
  "state": "optimized geometry",
  "ef_mev_per_atom": -39,
  "magnetic_moment_mub_per_cell": 0.0,
  "total_energy_ha_per_atom": -0.135,
  "de_polymorph_kcal_per_mol_atoms": 0.40,
  "lattice_angstrom": [[3.8347, 0.0000, 0.0000], [0.0000, 3.8337, -0.0087], [0.0000, 1.9109, 5.8113]],
  "species": ["La", "Li", "Li", "Ni"],
  "frac_coords": [[0.5000, 0.7312, 0.6644], [0.0000, 0.0021, 0.1207], [0.5000, 0.4539, 0.2161], [0.0000, 0.3129, 0.4988]]
}


Record 12
{
  "formula": "Li2La3Ni7",
  "functional": "PBE",
  "state": "optimized geometry",
  "ef_mev_per_atom": -248,
  "magnetic_moment_mub_per_cell": 0.0,
  "total_energy_ha_per_atom": -0.190,
  "lattice_angstrom": [[-0.5032, 0.4008, 5.1021], [0.8369, -4.0951, 2.9959], [8.1359, 0.8670, 3.3260]],
  "species": ["Li", "Li", "La", "La", "La", "Ni", "Ni", "Ni", "Ni", "Ni", "Ni", "Ni"],
  "frac_coords": [[0.6663, 0.6663, 0.0012], [0.3337, 0.3337, 0.9988], [0.0000, 0.0000, 0.0000], [0.8623, 0.8623, 0.4131], [0.1377, 0.1377, 0.5869], [0.5000, 0.5000, 0.5000], [0.9167, 0.4179, 0.2475], [0.4179, 0.9167, 0.2475], [0.4179, 0.4179, 0.2475], [0.0833, 0.5821, 0.7525], [0.5821, 0.5821, 0.7525], [0.5821, 0.0833, 0.7525]]
}


Record 13
{
  "formula": "Li2LaNi",
  "functional": "PBE",
  "state": "optimized geometry",
  "ef_mev_per_atom": -28,
  "magnetic_moment_mub_per_cell": 0.0,
  "total_energy_ha_per_atom": -0.135,
  "de_polymorph_kcal_per_mol_atoms": 0.65,
  "lattice_angstrom": [[-0.5460, -4.9808, 1.5159], [-0.7587, -1.0674, -3.7803], [3.8216, -0.6930, -0.9006]],
  "species": ["La", "Li", "Li", "Ni"],
  "frac_coords": [[0.5000, 0.7500, 0.7500], [0.0000, 0.0542, 0.0538], [0.0000, 0.4458, 0.4462], [0.5000, 0.2500, 0.2500]]
}


Record 14
{
  "formula": "Li2LaNi",
  "functional": "PBE",
  "state": "optimized geometry",
  "ef_mev_per_atom": -52,
  "magnetic_moment_mub_per_cell": 0.0,
  "total_energy_ha_per_atom": -0.135,
  "de_polymorph_kcal_per_mol_atoms": 0.09,
  "lattice_angstrom": [[5.6918, -0.0266, 0.0042], [2.8772, 4.9111, -0.0042], [-4.1186, -2.7332, 2.8220]],
  "species": ["La", "Li", "Li", "Ni"],
  "frac_coords": [[0.2500, 0.7500, 0.5000], [0.9822, 0.9822, 0.0000], [0.5178, 0.5178, 0.0000], [0.7500, 0.2500, 0.5000]]
}


Record 15
{
  "formula": "Li3LaNi",
  "functional": "PBE",
  "state": "optimized geometry",
  "ef_mev_per_atom": 235,
  "magnetic_moment_mub_per_cell": 0.0,
  "total_energy_ha_per_atom": -0.112,
  "de_polymorph_kcal_per_mol_atoms": 0.00,
  "lattice_angstrom": [[-2.6672, -0.5601, -3.8295], [2.3967, -3.8908, -1.1002], [-3.0389, -2.5769, 2.4934]],
  "species": ["Ni", "Li", "Li", "Li", "La"],
  "frac_coords": [[0.0000, 0.0000, 0.0000], [0.0000, 0.5000, 0.0000], [0.0000, 0.0000, 0.5000], [0.5000, 0.0000, 0.0000], [0.5000, 0.5000, 0.5000]]
}


Record 16
{
  "formula": "Li2LaNi2",
  "functional": "PBE",
  "state": "optimized geometry",
  "ef_mev_per_atom": 24,
  "magnetic_moment_mub_per_cell": 0.0,
  "total_energy_ha_per_atom": -0.148,
  "de_polymorph_kcal_per_mol_atoms": 4.29,
  "lattice_angstrom": [[-6.1221, -0.0843, 4.1423], [4.0768, -1.4398, 5.9960], [0.2925, 2.8722, 0.4908]],
  "species": ["Ni", "Ni", "Ni", "Ni", "Li", "Li", "Li", "Li", "La", "La"],
  "frac_coords": [[0.3219, 0.8219, 0.0000], [0.8219, 0.6781, 0.0000], [0.6781, 0.1781, 0.0000], [0.1781, 0.3219, 0.0000], [0.1166, 0.6166, 0.5000], [0.6166, 0.8834, 0.5000], [0.8834, 0.3834, 0.5000], [0.3834, 0.1166, 0.5000], [0.0000, 0.0000, 0.0000], [0.5000, 0.5000, 0.0000]]
}


Record 17
{
  "formula": "Li2LaNi",
  "functional": "PBE",
  "state": "optimized geometry",
  "ef_mev_per_atom": 236,
  "magnetic_moment_mub_per_cell": 0.0,
  "total_energy_ha_per_atom": -0.125,
  "de_polymorph_kcal_per_mol_atoms": 6.75,
  "lattice_angstrom": [[-3.0471, 3.0681, 2.9429], [-2.0010, -4.3338, -2.1385], [0.8492, -1.7010, 2.6526]],
  "species": ["La", "Li", "Li", "Ni"],
  "frac_coords": [[0.0000, 0.5000, 0.5000], [0.0000, 0.0000, 0.0000], [0.5000, 0.5000, 0.0000], [0.5000, 0.0000, 0.5000]]
}


Record 18
{
  "formula": "Li2LaNi",
  "functional": "PBE",
  "state": "optimized geometry",
  "ef_mev_per_atom": 5,
  "magnetic_moment_mub_per_cell": 0.0,
  "total_energy_ha_per_atom": -0.133,
  "de_polymorph_kcal_per_mol_atoms": 1.42,
  "lattice_angstrom": [[-2.4255, -1.3533, -2.8084], [-0.0185, -3.5519, 1.7276], [-9.6404, 0.4476, 5.3326]],
  "species": ["Ni", "Ni", "Li", "Li", "Li", "Li", "La", "La"],
  "frac_coords": [[0.5000, 0.5000, 0.0000], [0.2500, 0.7500, 0.5000], [0.5635, 0.1250, 0.2500], [0.1865, 0.6250, 0.2500], [0.3750, 0.4365, 0.7500], [0.8750, 0.8135, 0.7500], [0.0000, 0.0000, 0.0000], [0.7500, 0.2500, 0.5000]]
}


Record 19
{
  "formula": "Li2LaNi",
  "functional": "PBE",
  "state": "optimized geometry",
  "ef_mev_per_atom": 58,
  "magnetic_moment_mub_per_cell": 0.0,
  "total_energy_ha_per_atom": -0.131,
  "de_polymorph_kcal_per_mol_atoms": 2.64,
  "lattice_angstrom": [[-1.5401, -4.2415, 1.7948], [3.9477, -0.2766, 2.8148], [-2.8648, 3.9168, 0.1876]],
  "species": ["La", "Li", "Li", "Ni"],
  "frac_coords": [[0.7500, 0.2500, 0.5000], [0.0000, 0.0000, 0.0000], [0.2500, 0.7500, 0.5000], [0.5000, 0.5000, 0.0000]]
}